Entry 1:
VASP calculation (GGA-PBE) on NaSrCoGe after structural relaxation.

Geometry as POSCAR:
```
NaSrCoGe
1.0
4.116 0.000 0.000
0.000 4.116 0.000
0.000 0.000 12.269
Sr Na Ge Co
2 2 2 2
Direct
0.250 0.250 0.790
0.750 0.750 0.210
0.750 0.250 0.500
0.250 0.750 0.500
0.750 0.750 0.903
0.250 0.250 0.097
0.750 0.250 0.000
0.250 0.750 0.000
```

Calculated values
The calculation puts the magnetization at 0.000 μB/atom. The value obtained for the density of states at the Fermi level is 3.36 states/eV/f.u. For the formation energy, the calculation gives -217 meV per atom.

---

Entry 2:
VASP calculation (GGA-PBE) on NaYCoGe2 after structural relaxation.

Geometry as POSCAR:
```
NaYCoGe2
1.0
-4.644 0.614 -1.410
0.977 -1.875 -4.032
-1.125 -4.415 1.781
Ge Co Y Na
2 1 1 1
Direct
0.500 0.000 0.000
0.000 0.000 0.500
0.000 0.500 0.000
0.500 0.500 0.500
0.000 0.000 0.000
```

Calculated values
The calculation puts the magnetization at 0.321 μB/atom. The value obtained for the density of states at the Fermi level is 5.90 states/eV/f.u. For the formation energy, the calculation gives 740 meV per atom.

---

Entry 3:
VASP calculation (GGA-PBE) on Na2ZnCoGe after structural relaxation.

Geometry as POSCAR:
```
Na2ZnCoGe
1.0
5.342 0.000 0.000
0.000 4.650 0.000
0.000 0.000 5.342
Zn Co Na Ge
1 1 2 1
Direct
0.000 0.000 0.000
0.500 0.500 0.500
0.000 0.000 0.500
0.500 0.000 0.000
0.000 0.500 0.000
```

Calculated values
The calculation puts the magnetization at 0.378 μB/atom. The value obtained for the density of states at the Fermi level is 4.24 states/eV/f.u. For the formation energy, the calculation gives 843 meV per atom.

---

Entry 4:
VASP calculation (GGA-PBE) on NbCo3Ge after structural relaxation.

Geometry as POSCAR:
```
NbCo3Ge
1.0
4.246 0.000 0.000
0.000 4.246 0.000
0.000 0.000 4.246
Co Nb Ge
3 1 1
Direct
0.500 0.000 0.000
0.000 0.500 0.000
0.000 0.000 0.500
0.500 0.500 0.500
0.000 0.000 0.000
```

Calculated values
The calculation puts the magnetization at 0.770 μB/atom. The calculation puts the excess energy over the best structure of this formula in the dataset at 338 meV/atom. The value obtained for the density of states at the Fermi level is 6.27 states/eV/f.u. For the formation energy, the calculation gives 756 meV per atom.

---

Entry 5:
VASP calculation (GGA-PBE) on Nb2CoGe2 after structural relaxation.

Geometry as POSCAR:
```
Nb2CoGe2
1.0
6.115 0.000 0.000
0.000 6.115 0.000
0.000 0.000 4.155
Ge Nb Co
4 4 2
Direct
0.855 0.645 0.000
0.145 0.355 0.000
0.355 0.855 0.000
0.645 0.145 0.000
0.664 0.836 0.500
0.336 0.164 0.500
0.836 0.336 0.500
0.164 0.664 0.500
0.000 0.000 0.000
0.500 0.500 0.000
```

Calculated values
The calculation puts the magnetization at 0.000 μB/atom. The value obtained for the density of states at the Fermi level is 4.45 states/eV/f.u. For the formation energy, the calculation gives -282 meV per atom.

---

Entry 6:
VASP calculation (GGA-PBE) on NbCoGe2 after structural relaxation.

Geometry as POSCAR:
```
NbCoGe2
1.0
-0.880 -3.340 2.700
-4.101 -0.666 1.400
-2.279 -3.451 -1.453
Ge Co Nb
2 1 1
Direct
0.250 0.250 0.250
0.750 0.750 0.750
0.000 0.000 0.000
0.500 0.500 0.500
```

Calculated values
The calculation puts the magnetization at 0.000 μB/atom. The value obtained for the density of states at the Fermi level is 4.67 states/eV/f.u. For the formation energy, the calculation gives 65 meV per atom.

---

Entry 7:
VASP calculation (GGA-PBE) on Nb6Co16Ge7 after structural relaxation.

Geometry as POSCAR:
```
Nb6Co16Ge7
1.0
2.233 3.091 7.090
-3.407 -2.646 6.797
4.266 -4.458 5.170
Co Ge Nb
16 7 6
Direct
0.503 0.166 0.166
0.834 0.834 0.834
0.497 0.834 0.834
0.834 0.834 0.497
0.858 0.381 0.381
0.142 0.619 0.619
0.166 0.503 0.166
0.166 0.166 0.166
0.381 0.381 0.858
0.619 0.619 0.142
0.619 0.619 0.619
0.381 0.381 0.381
0.834 0.497 0.834
0.166 0.166 0.503
0.619 0.142 0.619
0.381 0.858 0.381
0.000 0.000 0.500
0.500 0.500 0.500
0.000 0.500 0.500
0.000 0.500 0.000
0.500 0.500 0.000
0.500 0.000 0.500
0.500 0.000 0.000
0.202 0.202 0.798
0.798 0.798 0.202
0.798 0.202 0.798
0.202 0.798 0.798
0.202 0.798 0.202
0.798 0.202 0.202
```

Calculated values
The calculation puts the magnetization at 0.000 μB/atom. The value obtained for the density of states at the Fermi level is 23.93 states/eV/f.u. For the formation energy, the calculation gives -310 meV per atom.

---

Entry 8:
VASP calculation (GGA-PBE) on Nb2Co3Ge after structural relaxation.

Geometry as POSCAR:
```
Nb2Co3Ge
1.0
-2.326 -1.324 -4.106
1.117 -3.370 3.379
-6.749 1.207 3.434
Ge Co Nb
2 6 4
Direct
0.000 0.000 0.000
0.000 0.000 0.500
0.828 0.656 0.750
0.172 0.344 0.250
0.172 0.828 0.250
0.656 0.828 0.250
0.344 0.172 0.750
0.828 0.172 0.750
0.333 0.667 0.561
0.667 0.333 0.439
0.667 0.333 0.061
0.333 0.667 0.939
```

Calculated values
The calculation puts the magnetization at 0.000 μB/atom. The value obtained for the density of states at the Fermi level is 8.02 states/eV/f.u. For the formation energy, the calculation gives -322 meV per atom.

---

Entry 9:
VASP calculation (GGA-PBE) on Nb9Co4Ge after structural relaxation.

Geometry as POSCAR:
```
Nb9Co4Ge
1.0
-1.216 -2.190 9.342
0.379 -2.799 -9.250
9.591 0.970 0.791
Nb Ge Co
18 2 8
Direct
0.294 0.069 0.364
0.794 0.431 0.225
0.413 0.666 0.079
0.166 0.913 0.079
0.913 0.834 0.747
0.587 0.334 0.921
0.087 0.166 0.253
0.431 0.206 0.636
0.334 0.413 0.747
0.706 0.931 0.636
0.666 0.587 0.253
0.569 0.794 0.364
0.931 0.294 0.225
0.750 0.250 0.500
0.250 0.750 0.500
0.206 0.569 0.775
0.069 0.706 0.775
0.834 0.087 0.921
0.750 0.750 0.000
0.250 0.250 0.000
0.500 0.000 0.000
0.000 0.500 0.000
0.133 0.367 0.500
0.367 0.867 0.235
0.000 0.000 0.500
0.867 0.633 0.500
0.633 0.133 0.765
0.500 0.500 0.500
```

Calculated values
The calculation puts the magnetization at 0.000 μB/atom. The value obtained for the density of states at the Fermi level is 15.79 states/eV/f.u. For the formation energy, the calculation gives -202 meV per atom.

---

Entry 10:
VASP calculation (GGA-PBE) on NbCo3Ge after structural relaxation.

Geometry as POSCAR:
```
NbCo3Ge
1.0
4.355 0.000 0.000
0.000 6.935 -0.538
0.000 -3.619 5.940
Co Ge Nb
6 2 2
Direct
0.750 0.617 0.760
0.750 0.240 0.383
0.500 0.000 0.000
0.000 0.000 0.000
0.250 0.760 0.617
0.250 0.383 0.240
0.250 0.178 0.822
0.750 0.822 0.178
0.250 0.395 0.605
0.750 0.605 0.395
```

Calculated values
The calculation puts the magnetization at 0.330 μB/atom. The calculation puts the excess energy over the best structure of this formula in the dataset at 0 meV/atom. The value obtained for the density of states at the Fermi level is 5.60 states/eV/f.u. For the formation energy, the calculation gives 418 meV per atom.

---

Entry 11:
VASP calculation (GGA-PBE) on Nb3CoGe after structural relaxation.

Geometry as POSCAR:
```
Nb3CoGe
1.0
4.705 0.000 0.000
0.000 4.705 0.000
0.000 0.000 4.705
Co Nb Ge
1 3 1
Direct
0.500 0.500 0.500
0.500 0.000 0.000
0.000 0.500 0.000
0.000 0.000 0.500
0.000 0.000 0.000
```

Calculated values
The calculation puts the magnetization at 0.000 μB/atom. The calculation puts the excess energy over the best structure of this formula in the dataset at 683 meV/atom. The value obtained for the density of states at the Fermi level is 5.24 states/eV/f.u. For the formation energy, the calculation gives 1263 meV per atom.

---

Entry 12:
VASP calculation (GGA-PBE) on NbCoGe after structural relaxation.

Geometry as POSCAR:
```
NbCoGe
1.0
-2.705 0.430 -1.010
-1.369 -3.104 2.346
0.054 3.845 1.493
Co Ge Nb
1 1 1
Direct
0.167 0.667 0.333
0.167 0.000 0.000
0.667 0.333 0.667
```

Calculated values
The calculation puts the magnetization at 0.080 μB/atom. The value obtained for the density of states at the Fermi level is 1.04 states/eV/f.u. For the formation energy, the calculation gives -366 meV per atom.

---

Q: Which value of formation energy does entry 7 give?
A: -310 meV per atom